Record 1
Computed, not measured: crystalline RbHg3Pd at its relaxed geometry at the PBE level of DFT.

a b c (Å): 5.399 5.399 10.996
angles (deg): 90.00 90.00 120.00
Element x y z (fractional)
1 Hg 0.000 0.000 0.250
2 Hg 0.333 0.667 0.065
3 Hg 0.333 0.667 0.435
4 Hg 0.667 0.333 0.935
5 Hg 0.000 0.000 0.750
6 Hg 0.667 0.333 0.565
7 Rb 0.333 0.667 0.750
8 Rb 0.667 0.333 0.250
9 Pd 0.000 0.000 0.500
10 Pd 0.000 0.000 0.000

VASP energy, eV per cell: -14.94
Relative energy among the computed polymorphs, meV/atom: 174
Formation energy, eV/atom: -0.081

Record 2
Computed, not measured: crystalline La2Dy7Cd2 at its relaxed geometry at the PBE level of DFT.

a b c (Å): 6.599 7.620 7.620
angles (deg): 98.36 73.73 73.73
Element x y z (fractional)
1 La 0.500 0.145 0.855
2 La 0.500 0.855 0.145
3 Dy 0.193 0.576 0.066
4 Dy 0.807 0.934 0.424
5 Dy 0.807 0.424 0.934
6 Dy 0.193 0.066 0.576
7 Dy 0.547 0.650 0.650
8 Dy 0.000 0.000 0.000
9 Dy 0.453 0.350 0.350
10 Cd 0.976 0.327 0.327
11 Cd 0.024 0.673 0.673

VASP energy, eV per cell: -42.92
Formation energy, eV/atom: 0.089

Record 3
Computed, not measured: crystalline Tl2SiOsCl at its relaxed geometry at the PBE level of DFT.

a b c (Å): 5.686 4.477 5.686
angles (deg): 90.00 90.00 90.00
Site moments in Bohr magnetons follow the coordinates.
Element x y z (fractional)
1 Si 0.000 0.000 0.000  -0.03
2 Os 0.000 0.500 0.000  1.07
3 Tl 0.000 0.000 0.500  -0.01
4 Tl 0.500 0.000 0.000  -0.02
5 Cl 0.500 0.500 0.500  0.03

VASP energy, eV per cell: -20.15
Formation energy from raw total energies, eV per atom: 0.616

Record 4
Computed, not measured: crystalline Hf2ThSn at its relaxed geometry at the PBE level of DFT.

a b c (Å): 3.740 3.740 6.985
angles (deg): 90.00 90.00 90.00
Element x y z (fractional)
1 Hf 0.000 0.000 0.221
2 Hf 0.000 0.000 0.779
3 Th 0.500 0.500 0.500
4 Sn 0.500 0.500 0.000

VASP energy, eV per cell: -31.90
Relative energy among the computed polymorphs, meV/atom: 49
Formation energy, eV/atom: -0.143